This record from the Alexandria database describes crystalline SrHoO2 at its relaxed geometry. The functional is GGA-PBE.

abc: 3.4740 3.4740 18.6449
angles: 90.00 90.00 120.00
Space group R3m (No. 160, hexagonal axes)
Asymmetric unit:
Sr: 0.0000 0.0000 0.0000 (multiplicity 3)
Ho: 0.0000 0.0000 0.8253 (multiplicity 3)
O: 0.0000 0.0000 0.2258 (multiplicity 3)
O: 0.0000 0.0000 0.4293 (multiplicity 3)

Summary:
Magnetic moment ... 0.696 μB/f.u.
Formation energy from raw total energies ... -2.662 eV/atom
Energy relative to the lowest polymorph listed for this composition ... 106 meV per atom
Density of states at the Fermi level ... 0.21 states/eV/atom

---

This record from the Alexandria database describes crystalline LiY2MgNi at its relaxed geometry. The functional is GGA-PBE.

abc: 5.2120 5.2120 4.9754
angles: 90.00 90.00 90.00
Space group P4/mmm (No. 123)
Asymmetric unit:
Li: 0.0000 0.0000 0.0000 (multiplicity 1)
Y: 0.0000 0.5000 0.5000 (multiplicity 2)
Mg: 0.5000 0.5000 0.0000 (multiplicity 1)
Ni: 0.5000 0.5000 0.5000 (multiplicity 1)

Summary:
Magnetic moment ... 0.000 μB/f.u.
Formation energy ... -0.02 eV/atom
Density of states at the Fermi level ... 0.78 states/eV/atom